Entry from Alexandria via LeMat-Bulk: crystalline LaPrEr3 at its relaxed geometry (GGA-PBE).

Cell: 3.684 8.594 11.556 Å, 90.00 90.00 101.22°
Atoms (fractional coordinates):
La (0.344, 0.136, 0.250)
La (0.656, 0.864, 0.750)
Pr (0.100, 0.485, 0.250)
Pr (0.900, 0.515, 0.750)
Er (0.831, 0.183, 0.996)
Er (0.169, 0.817, 0.004)
Er (0.831, 0.183, 0.504)
Er (0.169, 0.817, 0.496)
Er (0.696, 0.817, 0.250)
Er (0.304, 0.183, 0.750)

Space group = P2_1/m, No. 11
N(E_F) = 1.4415 states/eV per atom
ΔH_f (0 K) = 0.3078 eV per atom

---

Entry from Alexandria via LeMat-Bulk: crystalline La3PrEr2 at its relaxed geometry (GGA-PBE).

Cell: 3.505 6.044 10.526 Å, 106.68 99.59 90.00°
Atoms (fractional coordinates):
La (0.000, 0.500, 0.000)
La (0.811, 0.811, 0.621)
La (0.189, 0.189, 0.379)
Pr (0.000, 0.000, 0.000)
Er (0.638, 0.638, 0.276)
Er (0.362, 0.362, 0.724)

Space group = Immm, No. 71
N(E_F) = 1.7361 states/eV per atom
ΔH_f (0 K) = 0.2942 eV per atom

---

Entry from Alexandria via LeMat-Bulk: crystalline La4PrEr10 at its relaxed geometry (GGA-PBE).

Cell: 10.793 8.730 8.730 Å, 67.53 51.82 51.82°
Atoms (fractional coordinates):
La (0.336, 0.730, 0.599)
La (0.934, 0.401, 0.730)
La (0.066, 0.599, 0.270)
La (0.664, 0.270, 0.401)
Pr (0.000, 0.000, 0.000)
Er (0.250, 0.500, 0.500)
Er (0.543, 0.324, 0.907)
Er (0.133, 0.093, 0.324)
Er (0.551, 0.907, 0.676)
Er (0.774, 0.676, 0.093)
Er (0.457, 0.676, 0.093)
Er (0.750, 0.500, 0.500)
Er (0.226, 0.324, 0.907)
Er (0.449, 0.093, 0.324)
Er (0.867, 0.907, 0.676)

Space group = I4/m, No. 87
N(E_F) = 1.5287 states/eV per atom
ΔH_f (0 K) = 0.3473 eV per atom

---

Entry from Alexandria via LeMat-Bulk: crystalline LaPr6Er5 at its relaxed geometry (GGA-PBE).

Cell: 5.170 10.180 9.606 Å, 122.01 105.62 89.99°
Atoms (fractional coordinates):
Pr (0.833, 0.581, 0.667)
Pr (0.833, 0.086, 0.667)
Pr (0.500, 0.746, 0.000)
Pr (0.500, 0.254, 0.000)
Pr (0.167, 0.914, 0.333)
Pr (0.167, 0.419, 0.333)
Er (0.668, 0.168, 0.337)
Er (0.332, 0.332, 0.665)
Er (0.000, 0.500, 0.000)
Er (0.668, 0.668, 0.335)
Er (0.332, 0.832, 0.663)
La (0.000, 0.000, 0.000)

Space group = Immm, No. 71
N(E_F) = 1.4139 states/eV per atom
ΔH_f (0 K) = 0.0201 eV per atom

---

Entry from Alexandria via LeMat-Bulk: crystalline La2Pr5Er at its relaxed geometry (GGA-PBE).

Cell: 5.228 7.374 14.809 Å, 90.00 90.00 90.00°
Atoms (fractional coordinates):
La (0.500, 0.247, 0.624)
La (0.500, 0.753, 0.376)
La (0.500, 0.253, 0.124)
La (0.500, 0.747, 0.876)
Pr (0.000, 0.000, 0.000)
Pr (0.000, 0.500, 0.500)
Pr (0.000, 0.498, 0.752)
Pr (0.000, 0.502, 0.248)
Pr (0.000, 0.002, 0.252)
Pr (0.000, 0.998, 0.748)
Pr (0.500, 0.250, 0.876)
Pr (0.500, 0.750, 0.124)
Pr (0.500, 0.250, 0.376)
Pr (0.500, 0.750, 0.624)
Er (0.000, 0.000, 0.500)
Er (0.000, 0.500, 0.000)

Space group = Pbam, No. 55
N(E_F) = 1.5290 states/eV per atom
ΔH_f (0 K) = 0.0130 eV per atom

---

Entry from Alexandria via LeMat-Bulk: crystalline La3Pr2Er3 at its relaxed geometry (GGA-PBE).

Cell: 5.084 5.192 11.025 Å, 103.62 103.33 90.00°
Atoms (fractional coordinates):
La (0.622, 0.622, 0.243)
La (0.378, 0.378, 0.757)
La (0.500, 0.000, 0.000)
Pr (0.749, 0.249, 0.498)
Pr (0.251, 0.751, 0.502)
Er (0.125, 0.125, 0.251)
Er (0.000, 0.500, 0.000)
Er (0.875, 0.875, 0.749)

Space group = Immm, No. 71
N(E_F) = 1.6857 states/eV per atom
ΔH_f (0 K) = 0.0263 eV per atom